No. 1
DFT (PBE-GGA) results for a relaxed Tl2OsF crystal.

Lattice parameters (Å, degrees): 6.7244 6.7244 6.7244 90.00 90.00 90.00
Last column: nearest neighbours and their distance in Å.
Space group Fm-3m (No. 225)
Symmetry-distinct sites (fractional):
Tl  0.2500  0.2500  0.2500 [8 per cell]  4 F 2.91, 4 Os 2.91
Os  0.0000  0.0000  0.0000 [4 per cell]  8 Tl 2.91
F  0.0000  0.0000  0.5000 [4 per cell]  8 Tl 2.91

Summary:
Raw formation energy (eV per atom): 0.34
Energy relative to the lowest polymorph listed for this composition (meV/atom): 0.0
Total magnetization (μB/f.u.): 0.61
Crystal system: cubic



No. 2
DFT (PBE-GGA) results for a relaxed InFe2Se crystal.

Lattice parameters (Å, degrees): 6.7252 6.7252 5.8033 90.00 90.00 90.00
Last column: nearest neighbours and their distance in Å.
Space group I-42d (No. 122)
Symmetry-distinct sites (fractional):
In  0.0000  0.0000  0.0000 [4 per cell]  8 Fe 2.81-3.02, 2 Se 2.90
Fe  0.1840  0.2500  0.6250 [8 per cell]  2 Se 2.21
Se  0.0000  0.0000  0.5000 [4 per cell]  4 Fe 2.21

Summary:
Raw formation energy (eV per atom): 0.56
Energy relative to the lowest polymorph listed for this composition (meV/atom): 489.0
Total magnetization (μB/f.u.): 0.00
Crystal system: tetragonal



Q: Look up the total magnetization of the first one.
A: 0.61 μB/f.u.